(1)
Here is BaCa2InO after structural relaxation from Alexandria. Energies are from PBE.

Calculated values
Magnetization (μB/f.u.): 0.00
Raw formation energy (meV per atom): -1263
Space-group type: No. 123
E above lowest polymorph (meV/atom): 0

a = 4.9490 Å, b = 4.9490 Å, c = 5.4605 Å
α = 90.00°, β = 90.00°, γ = 90.00°
Sites, in units of the cell vectors:
Ca 0.0000 0.5000 0.0000
Ca 0.5000 0.0000 0.0000
Ba 0.0000 0.0000 0.5000
O 0.0000 0.0000 0.0000
In 0.5000 0.5000 0.5000

(2)
Here is MnCdW2 after structural relaxation from Alexandria. Energies are from PBE.

Calculated values
Magnetization (μB/f.u.): 2.63
Space-group type: No. 35
Energy of formation from the pure elements (eV per atom): 0.31

a = 2.7614 Å, b = 2.7614 Å, c = 9.0724 Å
α = 90.00°, β = 90.00°, γ = 108.59°
Sites, in units of the cell vectors:
Cd 0.0000 0.0000 0.5104
Mn 0.5000 0.5000 0.7676
W 0.0000 0.0000 0.9890
W 0.5000 0.5000 0.2330

(3)
Here is La8Ge3Te4Pb after structural relaxation from Alexandria. Energies are from PBE.

Calculated values
Magnetization (μB/f.u.): 0.00
Raw formation energy (meV per atom): -1231
Space-group type: No. 166

a = 9.0771 Å, b = 9.1571 Å, c = 9.0774 Å
α = 119.71°, β = 120.00°, γ = 90.00°
Sites, in units of the cell vectors:
La 0.2484 0.7314 0.9831
La 0.2484 0.7313 0.4967
La 0.2586 0.2758 0.5173
La 0.7347 0.7314 0.9831
La 0.2653 0.2686 0.0169
La 0.7414 0.7242 0.4827
La 0.7516 0.2687 0.5033
La 0.7516 0.2686 0.0169
Ge 0.5000 0.5000 0.0000
Ge 0.5000 0.5000 0.5000
Ge 0.0000 0.5000 0.5000
Te 0.5000 0.0000 0.0000
Te 0.5000 0.0000 0.5000
Te 0.0000 0.0000 0.0000
Te 0.0000 0.0000 0.5000
Pb 0.0000 0.5000 0.0000